# 1
4
Lattice="3.6460 -0.3483 -0.3611 0.6042 5.1616 0.0597 0.6042 -0.1266 5.1604" Properties=species:S:1:pos:R:3 comment="BeTlBr2, PBEsol geometry, DFT SCAN" density_g_cm3=6.24 total_magnetization_mub_per_cell=0.60 e_form_raw_ev_per_atom=0.124 pbc="T T T"
Br 0.3021 2.5808 0.0298
Br 0.3021 -0.0633 2.5802
Tl 1.8230 -0.1741 -0.1805
Be 2.4272 2.3434 2.4295

***

# 2
5
Lattice="-1.8430 -3.9972 3.0440 4.7153 -2.7666 -0.7780 2.1547 2.4142 4.4747" Properties=species:S:1:pos:R:3 comment="TaGaTeI2, PBEsol geometry, DFT SCAN" density_g_cm3=6.43 total_magnetization_mub_per_cell=1.64 e_form_raw_ev_per_atom=0.282 pbc="T T T"
Ga 2.5135 -2.1748 3.3704
Ta 0.0000 0.0000 0.0000
Te -0.9215 -1.9986 1.5220
I 2.3577 -1.3833 -0.3890
I 1.0774 1.2071 2.2373

***

# 3
4
Lattice="2.9014 0.0000 0.0000 1.4507 2.5127 0.0000 1.4507 0.8376 9.6998" Properties=species:S:1:pos:R:3 comment="KZn2Rh, PBEsol geometry, DFT SCAN" density_g_cm3=6.41 total_magnetization_mub_per_cell=0.00 delta_e_f_mev_per_atom=249.8 pbc="T T T"
K 2.9014 1.6751 4.8499
Zn 4.3521 2.5127 7.7405
Zn 1.4507 0.8376 1.9593
Rh 0.0000 0.0000 0.0000

***

# 4
4
Lattice="3.2322 0.0000 0.0000 0.0000 3.2322 0.0000 0.0000 0.0000 7.5803" Properties=species:S:1:pos:R:3 comment="ZrSc2Ru, PBEsol geometry, DFT SCAN" density_g_cm3=5.92 total_magnetization_mub_per_cell=0.51 delta_e_f_mev_per_atom=-351.0 pbc="T T T"
Zr 0.0000 0.0000 4.0774
Sc 0.0000 0.0000 7.1828
Sc 1.6161 1.6161 2.0227
Ru 1.6161 1.6161 5.6679

***

# 5
6
Lattice="2.7696 0.0000 0.0000 0.0000 4.5414 0.0000 -1.3848 0.0000 7.3692" Properties=species:S:1:pos:R:3 comment="CdIr2, PBEsol geometry, DFT SCAN" density_g_cm3=17.80 total_magnetization_mub_per_cell=0.00 delta_e_f_mev_per_atom=192.3 pbc="T T T"
Ir 1.3848 1.1353 0.7357
Ir 1.3848 1.1353 5.8505
Ir 0.0000 3.4060 1.5187
Ir 0.0000 3.4060 6.6335
Cd 1.3848 3.4060 4.1461
Cd 0.0000 1.1353 3.2231

***

# 6
4
Lattice="3.2398 0.0000 0.0000 1.6199 2.8057 0.0000 1.6199 0.9352 9.5744" Properties=species:S:1:pos:R:3 comment="LaPF2, PBEsol geometry, DFT SCAN" density_g_cm3=3.97 total_magnetization_mub_per_cell=0.78 e_form_raw_ev_per_atom=-1.798 pbc="T T T"
La 3.2398 1.8705 4.7872
P 0.0000 0.0000 0.0000
F 1.6199 0.9352 6.2988
F 4.8597 2.8057 3.2756

***

# 7
5
Lattice="4.2202 0.0000 0.0000 0.0000 4.2202 0.0000 0.0000 0.0000 4.2202" Properties=species:S:1:pos:R:3 comment="Co3CBr, PBEsol geometry, DFT SCAN" density_g_cm3=5.94 total_magnetization_mub_per_cell=2.53 e_form_raw_ev_per_atom=2.472 pbc="T T T"
C 2.1101 2.1101 2.1101
Co 2.1101 0.0000 0.0000
Co 0.0000 0.0000 2.1101
Co 0.0000 2.1101 0.0000
Br 0.0000 0.0000 0.0000

***

# 8
4
Lattice="-1.3856 1.0427 -2.5862 0.8110 -1.1561 -2.7751 -4.2308 -4.1176 -1.2680" Properties=species:S:1:pos:R:3 comment="YBeN2, PBEsol geometry, DFT SCAN" density_g_cm3=4.32 total_magnetization_mub_per_cell=0.00 e_form_raw_ev_per_atom=0.634 pbc="T T T"
Be -2.4026 -2.1155 -3.3147
N -2.0617 -1.6154 -5.1702
N -2.7436 -2.6155 -1.4591
Y 0.0000 0.0000 0.0000

***

Copy entry 6 word for word.
4
Lattice="3.2398 0.0000 0.0000 1.6199 2.8057 0.0000 1.6199 0.9352 9.5744" Properties=species:S:1:pos:R:3 comment="LaPF2, PBEsol geometry, DFT SCAN" density_g_cm3=3.97 total_magnetization_mub_per_cell=0.78 e_form_raw_ev_per_atom=-1.798 pbc="T T T"
La 3.2398 1.8705 4.7872
P 0.0000 0.0000 0.0000
F 1.6199 0.9352 6.2988
F 4.8597 2.8057 3.2756

***

Repeat the second record exactly.
5
Lattice="-1.8430 -3.9972 3.0440 4.7153 -2.7666 -0.7780 2.1547 2.4142 4.4747" Properties=species:S:1:pos:R:3 comment="TaGaTeI2, PBEsol geometry, DFT SCAN" density_g_cm3=6.43 total_magnetization_mub_per_cell=1.64 e_form_raw_ev_per_atom=0.282 pbc="T T T"
Ga 2.5135 -2.1748 3.3704
Ta 0.0000 0.0000 0.0000
Te -0.9215 -1.9986 1.5220
I 2.3577 -1.3833 -0.3890
I 1.0774 1.2071 2.2373